# 1
## NaAsAu2S (SCAN)

Data for NaAsAu2S at its PBEsol-relaxed geometry.

The magnetization comes out at 0.00 μB per cell. The value obtained for the formation energy from raw total energies is -80 meV per atom. Its final energy is -34.550 eV per atom.

Cell: 4.8051 4.8051 5.1027 Å, 90.00 90.00 90.00°
Last column: nearest neighbours and their distance in Å.
Space group P4/mmm (No. 123)
Asymmetric unit:
Na  0.0000  0.0000  0.0000 [1 per cell]  4 S 3.40, 8 Au 3.50
As  0.5000  0.5000  0.5000 [1 per cell]  4 Au 2.40, 2 S 2.55
Au  0.0000  0.5000  0.5000 [2 per cell]  2 As 2.40
S  0.5000  0.5000  0.0000 [1 per cell]  2 As 2.55


# 2
## NaAsAuSe2 (SCAN)

Data for NaAsAuSe2 at its PBEsol-relaxed geometry.

The magnetization comes out at 0.00 μB per cell. The value obtained for the formation energy from raw total energies is 1083 meV per atom. Its final energy is -25.661 eV per atom.

Cell: 4.9129 4.9129 4.9063 Å, 90.00 90.00 90.00°
Last column: nearest neighbours and their distance in Å.
Space group P4/mmm (No. 123)
Asymmetric unit:
Na  0.0000  0.0000  0.0000 [1 per cell]  2 As 2.45, 4 Se 2.46
As  0.0000  0.0000  0.5000 [1 per cell]  2 Na 2.45
Au  0.5000  0.5000  0.5000 [1 per cell]  8 Se 3.47, 4 As 3.47
Se  0.0000  0.5000  0.0000 [2 per cell]  2 Na 2.46